[1]
This record from Alexandria describes crystalline ZrZnTeI2 at its relaxed geometry. The functional is GGA-PBE.

## Properties
Total magnetic moment (μB per atom): 0.00
Formation energy without anion corrections (eV/atom): -0.273
Energy (eV per atom): -3.49
SG: P4/mmm
Volume (Å³ per cell): 190.5

Lattice parameters (Å, degrees): 5.8430 5.8430 5.5795 90.00 90.00 90.00
Last column: nearest neighbours and their distance in Å.
Fractional coordinates of all 5 atoms:
Zr1 0.0000 0.0000 0.0000  2 Te 2.79, 4 I 2.92
Zn1 0.5000 0.5000 0.5000  8 I 4.04, 4 Te 4.13
Te1 0.0000 0.0000 0.5000  2 Zr 2.79
I1 0.0000 0.5000 0.0000  2 Zr 2.92
I2 0.5000 0.0000 0.0000  2 Zr 2.92



[2]
This record from Alexandria describes crystalline PrTm2ScTe6 at its relaxed geometry. The functional is GGA-PBE.

## Properties
Total magnetic moment (μB per atom): 0.00
Formation energy without anion corrections (eV/atom): -1.295
Energy (eV per atom): -5.19
SG: R3
Volume (Å³ per cell): 351.2

Lattice parameters (Å, degrees): 8.2360 8.2360 8.2360 55.23 55.23 55.23
Last column: nearest neighbours and their distance in Å.
Fractional coordinates of all 10 atoms:
Pr1 0.0000 0.0000 0.0000  6 Te 3.15-3.23
Tm1 0.3096 0.3096 0.3096  6 Te 3.05-3.06
Tm2 0.8138 0.8138 0.8138  6 Te 3.01-3.08
Sc1 0.4948 0.4948 0.4948  6 Te 2.96-2.97
Te1 0.0949 0.7001 0.4226  1 Sc 2.97, 2 Tm 3.01-3.06, 1 Pr 3.15
Te2 0.2296 0.5797 0.8939  1 Sc 2.96, 2 Tm 3.05-3.08, 1 Pr 3.23
Te3 0.4226 0.0949 0.7001  1 Sc 2.97, 2 Tm 3.01-3.06, 1 Pr 3.15
Te4 0.5797 0.8939 0.2296  1 Sc 2.96, 2 Tm 3.05-3.08, 1 Pr 3.23
Te5 0.7001 0.4226 0.0949  1 Sc 2.97, 2 Tm 3.01-3.06, 1 Pr 3.15
Te6 0.8939 0.2296 0.5797  1 Sc 2.96, 2 Tm 3.05-3.08, 1 Pr 3.23



[3]
This record from Alexandria describes crystalline DyY4MgS8 at its relaxed geometry. The functional is GGA-PBE.

## Properties
Total magnetic moment (μB per atom): 0.00
Formation energy without anion corrections (eV/atom): -1.924
Energy (eV per atom): -6.57
SG: R3m
Volume (Å³ per cell): 359.9

Lattice parameters (Å, degrees): 7.9839 7.9839 7.9839 60.00 60.00 60.00
Last column: nearest neighbours and their distance in Å.
Fractional coordinates of all 14 atoms:
Dy1 0.0000 0.0000 0.0000  6 S 2.75-2.76
Y1 0.9999 0.9999 0.4892  6 S 2.75-2.76
Y2 0.9999 0.4892 0.9999  6 S 2.75-2.76
Y3 0.4892 0.9999 0.9999  6 S 2.75-2.76
Y4 0.6221 0.6221 0.6221  4 S 2.61
Mg1 0.3722 0.3722 0.3722  4 S 2.51-2.52
S1 0.2216 0.7561 0.7560  3 Y 2.61-2.76, 1 Dy 2.76
S2 0.2433 0.2433 0.7582  1 Mg 2.52, 1 Dy 2.75, 2 Y 2.75
S3 0.2433 0.7582 0.2433  1 Mg 2.52, 1 Dy 2.75, 2 Y 2.75
S4 0.2436 0.2436 0.2436  1 Mg 2.51, 3 Y 2.75
S5 0.7561 0.2216 0.7561  3 Y 2.61-2.76, 1 Dy 2.76
S6 0.7561 0.7561 0.2216  3 Y 2.61-2.76, 1 Dy 2.76
S7 0.7556 0.7556 0.7556  4 Y 2.61-2.76
S8 0.7582 0.2433 0.2433  1 Mg 2.52, 1 Dy 2.75, 2 Y 2.75



[4]
This record from Alexandria describes crystalline Sm2AlCl at its relaxed geometry. The functional is GGA-PBE.

## Properties
Total magnetic moment (μB per atom): 0.00
Formation energy without anion corrections (eV/atom): -0.373
Energy (eV per atom): -4.13
SG: R-3m
Volume (Å³ per cell): 327.6

Lattice parameters (Å, degrees): 3.4319 3.4319 32.1180 90.00 90.00 120.00
Last column: nearest neighbours and their distance in Å.
Fractional coordinates of all 12 atoms:
Sm1 0.0000 0.0000 0.0960  3 Cl 3.01, 1 Al 3.08
Sm2 0.0000 0.0000 0.9040  3 Cl 3.01, 1 Al 3.08
Sm3 0.3333 0.6667 0.5706  3 Cl 3.01, 1 Al 3.08
Sm4 0.3333 0.6667 0.7627  3 Cl 3.01, 1 Al 3.08
Sm5 0.6667 0.3333 0.2373  3 Cl 3.01, 1 Al 3.08
Sm6 0.6667 0.3333 0.4294  3 Cl 3.01, 1 Al 3.08
Al1 0.0000 0.0000 0.0000  2 Sm 3.08, 6 Al 3.43
Al2 0.3333 0.6667 0.6667  2 Sm 3.08, 6 Al 3.43
Al3 0.6667 0.3333 0.3333  2 Sm 3.08, 6 Al 3.43
Cl1 0.0000 0.0000 0.5000  6 Sm 3.01
Cl2 0.3333 0.6667 0.1667  6 Sm 3.01
Cl3 0.6667 0.3333 0.8333  6 Sm 3.01